(1)
Compound: SbAu2
Source: Alexandria
Functional: GGA-PBE
Structure: relaxed

Geometry as POSCAR:
```
SbAu2
1.0
-2.3531 -5.3160 -3.2700
3.7977 1.5536 -5.2587
4.9528 -3.7170 2.4787
Au Sb
8 4
direct
0.6227 0.6227 0.3773 Au
0.1227 0.6227 0.1227 Au
0.1227 0.8773 0.6227 Au
0.6227 0.8773 0.8773 Au
0.3773 0.1227 0.1227 Au
0.8773 0.3773 0.8773 Au
0.3773 0.3773 0.6227 Au
0.8773 0.1227 0.3773 Au
0.0000 0.0000 0.0000 Sb
0.5000 0.5000 0.0000 Sb
0.0000 0.5000 0.5000 Sb
0.5000 0.0000 0.5000 Sb
```

Properties
- N(E_F): 1.8 states/eV/f.u.

=====

(2)
Compound: PrPaGa2O8
Source: Alexandria
Functional: GGA-PBE
Structure: relaxed

Geometry as POSCAR:
```
PrPaGa2O8
1.0
6.0804 0.2358 0.0000
-2.4854 5.5542 0.0000
-1.7975 -2.8950 5.0413
Pa O Ga Pr
1 8 2 1
direct
0.2500 0.7500 0.5000 Pa
0.7244 0.0504 0.6740 O
0.9496 0.6236 0.6740 O
0.3159 0.5106 0.1947 O
0.3764 0.0504 0.3260 O
0.8788 0.6841 0.1947 O
0.9496 0.2756 0.3260 O
0.4894 0.6841 0.8053 O
0.3159 0.1212 0.8053 O
0.7500 0.2500 0.5000 Ga
0.5000 0.5000 0.0000 Ga
0.0000 0.0000 0.0000 Pr
```

Properties
- N(E_F): 12.4 states/eV/f.u.

=====

(3)
Compound: MnRhW
Source: Alexandria
Functional: GGA-PBE
Structure: relaxed

Geometry as POSCAR:
```
MnRhW
1.0
-3.6898 1.1688 -1.4678
-3.1884 -2.6389 0.0767
-3.1545 0.6403 2.6028
Mn Rh W
1 1 1
direct
0.0000 0.0000 0.0000 Mn
0.5000 0.5000 0.5000 Rh
0.7500 0.7500 0.7500 W
```

Properties
- Excess energy over the best structure of this formula in the dataset: 54.9 kJ per mole of atoms
- N(E_F): 3.1 states/eV/f.u.
- Energy relative to the elements: 164.6 kJ/mol of formula units

=====

Total DFT energy (no corrections) readings, ordered: -3.39 -7.33 -9.26 eV per atom